(1)
DFT (PBE) results for a relaxed structure of Ho4TlIn. Values from VASP.

```
&SYSTEM
  ibrav = 0, nat = 6, ntyp = 3
/
ATOMIC_SPECIES
Ho 164.93 Ho.upf
Tl 204.38 Tl.upf
In 114.82 In.upf
ATOMIC_POSITIONS crystal
Ho 0.3754 0.3755 0.8737
Tl 0.0000 0.0000 0.0000
Ho 0.8744 0.8744 0.3768
Ho 0.1256 0.1256 0.6232
In 0.5000 0.5000 0.5000
Ho 0.6246 0.6245 0.1263
CELL_PARAMETERS angstrom
5.1635 0.0000 0.0000
2.5817 4.4638 0.2590
2.5817 1.0037 8.4869
```

Calculated values
- E_form: -0.062 eV/atom
- Fermi-level density of states: 8.4 states/eV per cell
- Energy relative to the lowest polymorph listed for this composition: 0.0 kJ/mol of atoms
- Final energy: -3.9651 eV/atom



(2)
DFT (PBE) results for a relaxed structure of LiTc2Cl8. Values from VASP.

```
&SYSTEM
  ibrav = 0, nat = 11, ntyp = 3
/
ATOMIC_SPECIES
Cl 35.45 Cl.upf
Li 6.94 Li.upf
Tc 98.00 Tc.upf
ATOMIC_POSITIONS crystal
Cl 0.7233 0.5475 0.3066
Cl 0.2767 0.4525 0.6934
Cl 0.1880 0.2058 0.8934
Cl 0.3219 0.1264 0.2486
Li 0.0000 0.0000 0.0000
Cl 0.7565 0.1416 0.5586
Cl 0.6781 0.8736 0.7514
Cl 0.8120 0.7943 0.1066
Cl 0.2435 0.8584 0.4414
Tc 0.2554 0.1737 0.5749
Tc 0.7446 0.8263 0.4251
CELL_PARAMETERS angstrom
-3.7990 0.9936 3.4182
3.1388 -7.3673 4.3908
2.4066 7.0750 2.3178
```

Calculated values
- Fermi-level density of states: 0.7 states/eV per cell
- Energy relative to the lowest polymorph listed for this composition: 0.0 kJ/mol of atoms
- Final energy: -4.1375 eV/atom
- E_form (uncorrected): -0.736 eV/atom



(3)
DFT (PBE) results for a relaxed structure of Er4ZrZn. Values from VASP.

```
&SYSTEM
  ibrav = 0, nat = 6, ntyp = 3
/
ATOMIC_SPECIES
Zn 65.41 Zn.upf
Er 167.26 Er.upf
Zr 91.22 Zr.upf
ATOMIC_POSITIONS crystal
Zn 0.5000 0.5000 0.5000
Er 0.0000 0.0000 0.6337
Er 0.0000 0.0000 0.3663
Zr 0.0000 0.0000 0.0000
Er 0.5000 0.5000 0.8327
Er 0.5000 0.5000 0.1673
CELL_PARAMETERS angstrom
-0.7135 2.9968 -1.5703
-2.2569 -1.6172 -2.0608
-9.7197 2.3124 8.8297
```

Calculated values
- E_form: -0.069 eV/atom
- Fermi-level density of states: 8.4 states/eV per cell
- Final energy: -4.7476 eV/atom



(4)
DFT (PBE) results for a relaxed structure of MnTl2In2Cl6. Values from VASP.

```
&SYSTEM
  ibrav = 0, nat = 11, ntyp = 4
/
ATOMIC_SPECIES
Cl 35.45 Cl.upf
In 114.82 In.upf
Tl 204.38 Tl.upf
Mn 54.94 Mn.upf
ATOMIC_POSITIONS crystal
Cl 0.8353 0.8353 0.7397
Cl 0.6533 0.9582 0.3097
In 0.3513 0.6487 0.5000
Cl 0.9582 0.6533 0.3097
Tl 0.8093 0.1907 0.0000
Cl 0.0418 0.3467 0.6903
Tl 0.1907 0.8093 0.0000
In 0.6487 0.3513 0.5000
Mn 0.0000 0.0000 0.5000
Cl 0.3467 0.0418 0.6903
Cl 0.1647 0.1647 0.2603
CELL_PARAMETERS angstrom
-3.4157 1.1229 -6.3361
5.6865 -4.4671 -0.8850
-4.8368 -4.8240 3.1296
```

Calculated values
- Fermi-level density of states: 0.0 states/eV per cell
- Final energy: -3.7217 eV/atom
- E_form (uncorrected): -0.953 eV/atom



(5)
DFT (PBE) results for a relaxed structure of LiMgZr2. Values from VASP.

```
&SYSTEM
  ibrav = 0, nat = 4, ntyp = 3
/
ATOMIC_SPECIES
Li 6.94 Li.upf
Zr 91.22 Zr.upf
Mg 24.30 Mg.upf
ATOMIC_POSITIONS crystal
Li 0.0000 0.0000 0.5121
Zr 0.0000 0.0000 0.0035
Mg 0.5000 0.5000 0.7316
Zr 0.5000 0.5000 0.2527
CELL_PARAMETERS angstrom
-1.6690 2.0984 -1.6481
-1.2121 -2.3273 -1.7379
-6.6590 -0.8036 5.7203
```

Calculated values
- E_form: 0.035 eV/atom
- Fermi-level density of states: 3.8 states/eV per cell
- Final energy: -5.1162 eV/atom



(6)
DFT (PBE) results for a relaxed structure of CaLaZn4. Values from VASP.

```
&SYSTEM
  ibrav = 0, nat = 6, ntyp = 3
/
ATOMIC_SPECIES
Ca 40.08 Ca.upf
La 138.91 La.upf
Zn 65.41 Zn.upf
ATOMIC_POSITIONS crystal
Ca 0.0000 0.5000 0.5000
La 0.0000 0.0000 0.0000
Zn 0.3333 0.9227 0.4108
Zn 0.3333 0.4108 0.9227
Zn 0.6667 0.0773 0.5892
Zn 0.6667 0.5892 0.0773
CELL_PARAMETERS angstrom
-1.3745 4.0989 1.5463
0.5804 0.5555 5.8600
4.3817 3.9684 0.1920
```

Calculated values
- E_form: -0.319 eV/atom
- Fermi-level density of states: 5.3 states/eV per cell
- Energy relative to the lowest polymorph listed for this composition: 0.0 kJ/mol of atoms
- Final energy: -2.3228 eV/atom



(7)
DFT (PBE) results for a relaxed structure of Ba3Er4O9. Values from VASP.

```
&SYSTEM
  ibrav = 0, nat = 16, ntyp = 3
/
ATOMIC_SPECIES
Er 167.26 Er.upf
O 16.00 O.upf
Ba 137.33 Ba.upf
ATOMIC_POSITIONS crystal
Er 0.2605 0.2605 0.2605
Er 0.5739 0.5739 0.5739
O 0.8728 0.4028 0.3053
Ba 0.9998 0.9998 0.9998
Ba 0.4207 0.4207 0.4207
O 0.3053 0.8728 0.4028
O 0.9579 0.5377 0.4221
Ba 0.8348 0.8348 0.8348
Er 0.1351 0.1351 0.1351
O 0.4221 0.9579 0.5377
O 0.5377 0.4221 0.9579
Er 0.6988 0.6988 0.6988
O 0.4182 0.8598 0.9735
O 0.9735 0.4182 0.8598
O 0.4028 0.3053 0.8728
O 0.8598 0.9735 0.4182
CELL_PARAMETERS angstrom
9.1621 -0.0025 -0.0016
7.1306 5.7531 -0.0016
7.1306 2.5168 5.1734
```

Calculated values
- Fermi-level density of states: 0.0 states/eV per cell
- Final energy: -7.4983 eV/atom
- E_form (uncorrected): -3.208 eV/atom



(8)
DFT (PBE) results for a relaxed structure of Sr4Tb3AgS8. Values from VASP.

```
&SYSTEM
  ibrav = 0, nat = 16, ntyp = 4
/
ATOMIC_SPECIES
Ag 107.87 Ag.upf
S 32.06 S.upf
Sr 87.62 Sr.upf
Tb 158.93 Tb.upf
ATOMIC_POSITIONS crystal
Ag 0.0000 0.5000 0.0000
S 0.2471 0.7306 0.9835
Sr 0.5000 0.0000 0.0000
Tb 0.0000 0.5000 0.5000
Tb 0.5000 0.5000 0.5000
Sr 0.0000 0.0000 0.0000
Tb 0.5000 0.5000 0.0000
Sr 0.0000 0.0000 0.5000
S 0.7529 0.2694 0.0165
S 0.7433 0.7299 0.4866
S 0.7528 0.2693 0.5057
Sr 0.5000 0.0000 0.5000
S 0.2472 0.7307 0.4943
S 0.7364 0.7306 0.9835
S 0.2567 0.2701 0.5134
S 0.2636 0.2694 0.0165
CELL_PARAMETERS angstrom
8.1749 0.0000 0.0000
0.0000 8.2182 0.0250
-4.0874 -4.0837 5.7837
```

Calculated values
- Fermi-level density of states: 4.3 states/eV per cell
- Final energy: -5.3974 eV/atom
- E_form (uncorrected): -1.867 eV/atom